The following is a DFT calculation (PBE) of a relaxed structure of Al2RhW.

Values from the calculation:
Formation enthalpy at 0 K: -0.0404 eV per atom
Calculated total energy: -6.99 eV/atom
Calculated density: 9.4 g/cm3
Relative energy among the computed polymorphs: 408 meV/atom
SG: F-43m (216)
Spin magnetization: 0.002 μB per formula unit

a = 4.400 Å, b = 4.400 Å, c = 4.400 Å
α = 60.00°, β = 60.00°, γ = 60.00°
Positions (direct):
1 Al 0.000 0.000 0.000
2 Al 0.250 0.250 0.250
3 Rh 0.750 0.750 0.750
4 W 0.500 0.500 0.500

The following is a DFT calculation (PBE) of a relaxed structure of Ce2TmN.

Values from the calculation:
Calculated total energy: -6.46 eV/atom
Calculated density: 8.9 g/cm3
Relative energy among the computed polymorphs: 264 meV/atom
SG: P4/mmm (123)
Formation energy (no corrections): -0.2893 eV per atom
Spin magnetization: 0.002 μB per formula unit

a = 3.124 Å, b = 3.124 Å, c = 8.851 Å
α = 90.00°, β = 90.00°, γ = 90.00°
Positions (direct):
1 Ce 0.000 0.000 0.161
2 Ce 0.000 0.000 0.839
3 Tm 0.500 0.500 0.500
4 N 0.500 0.500 0.000

The following is a DFT calculation (PBE) of a relaxed structure of Tm8Ga3Te4Se.

Values from the calculation:
Calculated total energy: -4.86 eV/atom
Calculated density: 8.4 g/cm3
SG: R-3m (166)
Formation energy (no corrections): -1.0566 eV per atom
Spin magnetization: 0.000 μB per formula unit

a = 8.597 Å, b = 8.597 Å, c = 8.597 Å
α = 57.55°, β = 57.55°, γ = 57.55°
Positions (direct):
1 Tm 0.235 0.744 0.744
2 Tm 0.243 0.243 0.243
3 Tm 0.256 0.256 0.765
4 Tm 0.256 0.765 0.256
5 Tm 0.744 0.235 0.744
6 Tm 0.744 0.744 0.235
7 Tm 0.757 0.757 0.757
8 Tm 0.765 0.256 0.256
9 Ga 0.000 0.000 0.500
10 Ga 0.000 0.500 0.000
11 Ga 0.500 0.000 0.000
12 Te 0.000 0.000 0.000
13 Te 0.000 0.500 0.500
14 Te 0.500 0.000 0.500
15 Te 0.500 0.500 0.000
16 Se 0.500 0.500 0.500

The following is a DFT calculation (PBE) of a relaxed structure of Sr2AlW.

Values from the calculation:
Formation enthalpy at 0 K: 0.9729 eV per atom
Calculated total energy: -4.04 eV/atom
Calculated density: 6.3 g/cm3
SG: I4/mmm (139)
Spin magnetization: 0.000 μB per formula unit

a = 5.945 Å, b = 5.945 Å, c = 5.945 Å
α = 135.57°, β = 135.57°, γ = 64.64°
Positions (direct):
1 Sr 0.250 0.750 0.500
2 Sr 0.750 0.250 0.500
3 Al 0.000 0.000 0.000
4 W 0.500 0.500 0.000

The following is a DFT calculation (PBE) of a relaxed structure of Hf3ZrS6.

Values from the calculation:
Calculated total energy: -7.67 eV/atom
Calculated density: 6.5 g/cm3
SG: R-3 (148)
Formation energy (no corrections): -1.3516 eV per atom
Spin magnetization: 0.338 μB per formula unit

a = 7.489 Å, b = 7.489 Å, c = 7.489 Å
α = 88.08°, β = 88.08°, γ = 88.08°
Positions (direct):
1 Hf 0.079 0.599 0.210
2 Hf 0.210 0.079 0.599
3 Hf 0.401 0.790 0.921
4 Hf 0.599 0.210 0.079
5 Hf 0.790 0.921 0.401
6 Hf 0.921 0.401 0.790
7 Zr 0.000 0.000 0.000
8 Zr 0.500 0.500 0.500
9 S 0.082 0.678 0.879
10 S 0.121 0.918 0.322
11 S 0.173 0.404 0.541
12 S 0.322 0.121 0.918
13 S 0.404 0.541 0.173
14 S 0.459 0.827 0.596
15 S 0.541 0.173 0.404
16 S 0.596 0.459 0.827
17 S 0.678 0.879 0.082
18 S 0.827 0.596 0.459
19 S 0.879 0.082 0.678
20 S 0.918 0.322 0.121

The following is a DFT calculation (PBE) of a relaxed structure of LiWCl3.

Values from the calculation:
Calculated total energy: -3.85 eV/atom
Calculated density: 5.1 g/cm3
Relative energy among the computed polymorphs: 484 meV/atom
SG: Pm-3m (221)
Formation energy (no corrections): 0.2310 eV per atom
Spin magnetization: 4.000 μB per formula unit

a = 4.599 Å, b = 4.599 Å, c = 4.599 Å
α = 90.00°, β = 90.00°, γ = 90.00°
Positions (direct):
1 Li 0.000 0.000 0.000
2 W 0.500 0.500 0.500
3 Cl 0.000 0.000 0.500
4 Cl 0.000 0.500 0.000
5 Cl 0.500 0.000 0.000

The following is a DFT calculation (PBE) of a relaxed structure of Ce2Mn2InRh5.

Values from the calculation:
Formation enthalpy at 0 K: -0.4298 eV per atom
Calculated total energy: -7.40 eV/atom
Calculated density: 9.7 g/cm3
SG: P4/mbm (127)
Spin magnetization: 7.525 μB per formula unit

a = 9.490 Å, b = 9.490 Å, c = 3.880 Å
α = 90.00°, β = 90.00°, γ = 90.00°
Positions (direct):
1 Ce 0.182 0.318 0.000
2 Ce 0.318 0.818 0.000
3 Ce 0.682 0.182 0.000
4 Ce 0.818 0.682 0.000
5 Mn 0.116 0.616 0.000
6 Mn 0.384 0.116 0.000
7 Mn 0.616 0.884 0.000
8 Mn 0.884 0.384 0.000
9 In 0.000 0.000 0.000
10 In 0.500 0.500 0.000
11 Rh 0.000 0.500 0.500
12 Rh 0.069 0.789 0.500
13 Rh 0.211 0.069 0.500
14 Rh 0.289 0.569 0.500
15 Rh 0.431 0.289 0.500
16 Rh 0.500 0.000 0.500
17 Rh 0.569 0.711 0.500
18 Rh 0.711 0.431 0.500
19 Rh 0.789 0.931 0.500
20 Rh 0.931 0.211 0.500

The following is a DFT calculation (PBE) of a relaxed structure of Li2AgC.

Values from the calculation:
Formation enthalpy at 0 K: 0.5554 eV per atom
Calculated total energy: -3.42 eV/atom
Calculated density: 3.0 g/cm3
SG: I-42d (122)
Spin magnetization: 0.000 μB per formula unit

a = 6.400 Å, b = 6.400 Å, c = 6.400 Å
α = 95.67°, β = 95.67°, γ = 143.35°
Positions (direct):
1 Li 0.375 0.139 0.264
2 Li 0.861 0.125 0.236
3 Li 0.875 0.111 0.736
4 Li 0.889 0.625 0.764
5 Ag 0.250 0.750 0.500
6 Ag 0.500 0.500 0.000
7 C 0.000 0.000 0.000
8 C 0.750 0.250 0.500